{
  "formula": "HgIr2Os",
  "functional": "GGA-PBE",
  "state": "relaxed",
  "lattice": [[-0.969, -0.637, -2.555], [-1.352, -2.216, 1.065], [-6.540, 4.627, 1.327]],
  "species": ["Ir", "Ir", "Os", "Hg"],
  "frac_coords": [[0.000, 0.000, 0.472], [0.000, 0.000, 0.028], [0.500, 0.500, 0.250], [0.500, 0.500, 0.750]],
  "m_tot_mub_per_atom": 0.000,
  "e_form_ev_per_atom": 0.240,
  "vol_a3_per_fu": 63.9,
  "final_energy_ev_per_atom": -7.073
}

***

{
  "formula": "Ca5ZnN4",
  "functional": "GGA-PBE",
  "state": "relaxed",
  "lattice": [[-0.856, -1.349, -5.685], [-2.599, -6.765, 1.996], [-7.257, 2.906, 0.403]],
  "species": ["N", "N", "N", "Ca", "N", "Ca", "Ca", "Ca", "Zn", "Ca", "N", "Ca", "N", "Ca", "Zn", "N", "Ca", "N", "Ca", "Ca"],
  "frac_coords": [[0.490, 0.000, 0.741], [0.078, 0.240, 0.500], [0.490, 0.000, 0.259], [0.756, 0.255, 0.703], [0.510, 0.500, 0.241], [0.244, 0.245, 0.203], [0.302, 0.500, 0.500], [0.756, 0.745, 0.297], [0.290, 0.000, 0.500], [0.244, 0.755, 0.797], [0.510, 0.500, 0.759], [0.756, 0.745, 0.703], [0.078, 0.760, 0.500], [0.698, 0.000, 0.000], [0.710, 0.500, 0.000], [0.922, 0.740, 0.000], [0.244, 0.755, 0.203], [0.922, 0.260, 0.000], [0.244, 0.245, 0.797], [0.756, 0.255, 0.297]],
  "m_tot_mub_per_atom": 0.000,
  "vol_a3_per_fu": 173.7,
  "final_energy_ev_per_atom": -5.033
}

***

{
  "formula": "ErPuHf2As4",
  "functional": "GGA-PBE",
  "state": "relaxed",
  "lattice": [[3.951, 0.000, 0.000], [0.000, 6.834, 0.118], [0.000, -2.391, 6.474]],
  "species": ["Er", "As", "Hf", "As", "As", "As", "Pu", "Hf"],
  "frac_coords": [[0.500, 0.500, 0.000], [0.500, 0.743, 0.733], [0.000, 0.500, 0.500], [0.000, 0.246, 0.734], [0.500, 0.257, 0.267], [0.000, 0.754, 0.266], [0.000, 0.000, 0.000], [0.500, 0.000, 0.500]],
  "m_tot_mub_per_atom": 0.686,
  "e_form_ev_per_atom": -1.164,
  "vol_a3_per_fu": 175.9,
  "final_energy_ev_per_atom": -8.339
}